# SbMoIr2

SbMoIr2 at its PBEsol-relaxed geometry (meta-GGA SCAN, Alexandria).

Computed properties:
Final energy ... -53.486 eV per atom
Formation energy without anion corrections ... 9.7 kJ/mol of atoms

Cell lengths 3.976, 3.976, 7.916 Å; angles 90.00, 90.00, 90.00 degrees
Space group I4/mmm (No. 139)
Symmetry-distinct sites (fractional):
Sb (0.000, 0.000, 0.000) [2 per cell]
Mo (0.000, 0.000, 0.500) [2 per cell]
Ir (0.000, 0.500, 0.250) [4 per cell]

# Ca4As7Ir8

Ca4As7Ir8 at its PBEsol-relaxed geometry (meta-GGA SCAN, Alexandria).

Computed properties:
Final energy ... -40.195 eV per atom

Cell lengths 12.929, 4.062, 13.469 Å; angles 90.00, 98.04, 90.00 degrees
Space group P2_1/m (No. 11)
Symmetry-distinct sites (fractional):
Ca (0.015, 0.250, 0.209) [2 per cell]
Ca (0.211, 0.750, 0.605) [2 per cell]
Ca (0.286, 0.750, 0.933) [2 per cell]
Ca (0.399, 0.750, 0.298) [2 per cell]
As (0.031, 0.250, 0.629) [2 per cell]
As (0.109, 0.250, 0.934) [2 per cell]
As (0.191, 0.750, 0.190) [2 per cell]
As (0.245, 0.250, 0.420) [2 per cell]
As (0.348, 0.250, 0.779) [2 per cell]
As (0.403, 0.250, 0.084) [2 per cell]
As (0.440, 0.750, 0.602) [2 per cell]
Ir (0.055, 0.250, 0.452) [2 per cell]
Ir (0.075, 0.750, 0.028) [2 per cell]
Ir (0.158, 0.750, 0.361) [2 per cell]
Ir (0.165, 0.250, 0.770) [2 per cell]
Ir (0.220, 0.250, 0.099) [2 per cell]
Ir (0.421, 0.250, 0.502) [2 per cell]
Ir (0.447, 0.750, 0.781) [2 per cell]
Ir (0.486, 0.250, 0.927) [2 per cell]

# BeCdCu2

BeCdCu2 at its PBEsol-relaxed geometry (meta-GGA SCAN, Alexandria).

Computed properties:
Final energy ... -16.338 eV per atom
ΔE to the lowest computed polymorph ... 0.0 meV per atom

Cell lengths 2.799, 2.799, 6.320 Å; angles 90.00, 90.00, 90.00 degrees
Space group P4/mmm (No. 123)
Symmetry-distinct sites (fractional):
Be (0.000, 0.000, 0.000) [1 per cell]
Cd (0.000, 0.000, 0.500) [1 per cell]
Cu (0.500, 0.500, 0.195) [2 per cell]

# ZrInSi2

ZrInSi2 at its PBEsol-relaxed geometry (meta-GGA SCAN, Alexandria).

Computed properties:
Final energy ... -21.142 eV per atom
Formation energy without anion corrections ... -10.9 kJ/mol of atoms

Cell lengths 3.879, 3.879, 9.450 Å; angles 90.00, 90.00, 90.00 degrees
Space group I-4m2 (No. 119)
Symmetry-distinct sites (fractional):
Zr (0.000, 0.000, 0.000) [2 per cell]
In (0.000, 0.500, 0.250) [2 per cell]
Si (0.000, 0.000, 0.500) [2 per cell]
Si (0.000, 0.500, 0.750) [2 per cell]

# CrHgIr2

CrHgIr2 at its PBEsol-relaxed geometry (meta-GGA SCAN, Alexandria).

Computed properties:
Final energy ... -56.986 eV per atom

Cell lengths 3.935, 3.935, 7.674 Å; angles 90.00, 90.00, 90.00 degrees
Space group I4/mmm (No. 139)
Symmetry-distinct sites (fractional):
Cr (0.000, 0.000, 0.000) [2 per cell]
Hg (0.000, 0.000, 0.500) [2 per cell]
Ir (0.000, 0.500, 0.250) [4 per cell]

# MnMo6Se8

MnMo6Se8 at its PBEsol-relaxed geometry (meta-GGA SCAN, Alexandria).

Computed properties:
Final energy ... -26.440 eV per atom
Formation energy without anion corrections ... -54.0 kJ/mol of atoms

Cell lengths 9.4776, 9.4776, 11.1417 Å; angles 90.00, 90.00, 120.00 degrees
Space group R-3 (No. 148, hexagonal axes)
Symmetry-distinct sites (fractional):
Mn (0.0000, 0.0000, 0.0000) [3 per cell]
Mo (0.0214, 0.8483, 0.3986) [18 per cell]
Se (0.0000, 0.0000, 0.2201) [6 per cell]
Se (0.0024, 0.3816, 0.7478) [18 per cell]

# Y5Ni2Bi

Y5Ni2Bi at its PBEsol-relaxed geometry (meta-GGA SCAN, Alexandria).

Computed properties:
Final energy ... -31.793 eV per atom

Cell lengths 7.598, 7.598, 13.340 Å; angles 90.00, 90.00, 90.00 degrees
Space group I4/mcm (No. 140)
Symmetry-distinct sites (fractional):
Y (0.000, 0.000, 0.000) [4 per cell]
Y (0.156, 0.344, 0.135) [16 per cell]
Ni (0.131, 0.369, 0.500) [8 per cell]
Bi (0.000, 0.000, 0.250) [4 per cell]

# Mg2PRh

Mg2PRh at its PBEsol-relaxed geometry (meta-GGA SCAN, Alexandria).

Computed properties:
Final energy ... -14.190 eV per atom

Cell lengths 3.265, 4.116, 10.015 Å; angles 90.00, 90.00, 90.00 degrees
Space group Amm2 (No. 38)
Symmetry-distinct sites (fractional):
Mg (0.000, 0.000, 0.000) [2 per cell]
Mg (0.500, 0.000, 0.300) [2 per cell]
P (0.000, 0.000, 0.734) [2 per cell]
Rh (0.500, 0.000, 0.578) [2 per cell]